No. 1
Material: Ho2W2N7
Method: DFT, PBE
State: optimized geometry

Cell: 5.936 5.936 5.447 Å, 97.16 97.16 107.15°
Fractional coordinates of all 11 atoms:
Ho 0.190 0.810 0.000
Ho 0.810 0.190 0.000
W 0.260 0.260 0.597
W 0.740 0.740 0.403
N 0.080 0.080 0.282
N 0.100 0.423 0.789
N 0.423 0.100 0.789
N 0.500 0.500 0.500
N 0.577 0.900 0.211
N 0.900 0.577 0.211
N 0.920 0.920 0.718

Properties
The symmetry is C2/m, No. 12. The calculation puts the uncorrected formation energy at -0.47 eV/atom.



No. 2
Material: YHoW2N6
Method: DFT, PBE
State: optimized geometry

Cell: 7.391 7.391 6.306 Å, 106.89 106.89 81.22°
Fractional coordinates of all 20 atoms:
Y 0.091 0.909 0.750
Y 0.909 0.091 0.250
Ho 0.286 0.714 0.250
Ho 0.714 0.286 0.750
W 0.202 0.380 0.779
W 0.380 0.202 0.279
W 0.620 0.798 0.721
W 0.798 0.620 0.221
N 0.002 0.220 0.657
N 0.116 0.626 0.841
N 0.220 0.002 0.157
N 0.340 0.370 0.080
N 0.370 0.340 0.580
N 0.374 0.884 0.659
N 0.626 0.116 0.341
N 0.630 0.660 0.420
N 0.660 0.630 0.920
N 0.780 0.998 0.843
N 0.884 0.374 0.159
N 0.998 0.780 0.343

Properties
The symmetry is C2/c, No. 15. The calculation puts the uncorrected formation energy at -1.01 eV/atom.



No. 3
Material: YHo3N
Method: DFT, PBE
State: optimized geometry

Cell: 4.943 4.943 4.943 Å, 90.00 90.00 90.00°
Fractional coordinates of all 5 atoms:
Y 0.000 0.000 0.000
Ho 0.000 0.500 0.500
Ho 0.500 0.000 0.500
Ho 0.500 0.500 0.000
N 0.500 0.500 0.500

Properties
The symmetry is Pm-3m, No. 221. The calculation puts the uncorrected formation energy at -0.53 eV/atom.



No. 4
Material: YHo4N5
Method: DFT, PBE
State: optimized geometry

Cell: 12.459 12.459 12.459 Å, 164.05 164.05 22.62°
Fractional coordinates of all 10 atoms:
Y 0.000 0.000 0.000
Ho 0.200 0.200 0.000
Ho 0.400 0.400 0.000
Ho 0.600 0.600 0.000
Ho 0.800 0.800 0.000
N 0.101 0.101 0.000
N 0.300 0.300 0.000
N 0.500 0.500 0.000
N 0.700 0.700 0.000
N 0.899 0.899 0.000

Properties
The symmetry is I4/mmm, No. 139. The calculation puts the uncorrected formation energy at -1.73 eV/atom.